Ga2Br3 | PBE-GGA | relaxed

SG: C2/m
ΔE_f (raw): -0.57 eV per atom
V: 34.12 Å³ per atom
ΔE to the lowest computed polymorph: 0.00 kJ per mole of atoms

Cell lengths 3.586, 12.772, 8.657 Å; angles 119.33, 90.00, 98.07 degrees
Atoms (fractional coordinates):
Br 0.373 0.747 0.461
Br 0.183 0.366 0.068
Ga 0.912 0.824 0.708
Ga 0.088 0.176 0.292
Br 0.817 0.634 0.932
Br 0.977 0.954 0.206
Br 0.627 0.253 0.539
Ga 0.390 0.781 0.915
Ga 0.610 0.219 0.085
Br 0.023 0.046 0.794